Compound: Dy4Se3O4
Source: the Alexandria database
Functional: PBE
Structure: relaxed

a = 3.952 Å, b = 7.447 Å, c = 7.601 Å
α = 119.33°, β = 105.07°, γ = 90.00°
Positions (direct):
Dy 0.221 0.721 0.441
Dy 0.779 0.279 0.559
Dy 0.500 0.754 0.000
Dy 0.500 0.246 0.000
Se 0.098 0.098 0.196
Se 0.902 0.902 0.804
Se 0.000 0.500 0.000
O 0.326 0.142 0.652
O 0.674 0.491 0.348
O 0.674 0.858 0.348
O 0.326 0.509 0.652

## Properties
- Formation energy (no corrections): -2308 meV/atom
- Density: 8.48 g/cm³
- Symmetry: No. 71
- Crystal system: orthorhombic